This record from Alexandria describes CsVS3 after structural relaxation. The functional is PBE-GGA.

Output
Uncorrected formation energy   -0.985 eV/atom
DFT total energy   -5.4558 eV per atom
Energy relative to the lowest polymorph listed for this composition   0.000 eV/atom
Volume   29.1 Å³/atom
D(E_F)   0.143 states/eV per atom
Magnetic moment   0.19 μB per atom
Symmetry   P-1

a = 7.882 Å, b = 5.994 Å, c = 7.309 Å
α = 69.93°, β = 73.55°, γ = 102.65°
Site moments in Bohr magnetons follow the coordinates.
Atoms (fractional coordinates):
Cs 0.334 0.526 0.986  0.00
Cs 0.648 0.959 0.302  0.00
S 0.067 0.919 0.006  -0.02
S 0.759 0.107 0.696  -0.04
S 0.816 0.535 0.875  -0.03
S 0.222 0.377 0.593  -0.04
S 0.914 0.565 0.282  -0.02
S 0.165 0.950 0.414  -0.03
V 0.990 0.524 0.578  0.90
V 0.991 0.961 0.710  0.90